Material: MnPPb2
Method: DFT, PBE
State: optimized geometry

a = 5.724 Å, b = 5.724 Å, c = 5.724 Å
α = 134.55°, β = 134.55°, γ = 66.23°
Element x y z (fractional)
Pb 0.250 0.750 0.500
Pb 0.750 0.250 0.500
P 0.000 0.000 0.000
Mn 0.500 0.500 0.000

Output
* E_tot: -4.9875 eV/atom
* mass density: 8.86 g cm⁻³
* volume: 23.44 A^3/atom

***

Material: MnPPb
Method: DFT, PBE
State: optimized geometry

a = 4.032 Å, b = 4.032 Å, c = 4.464 Å
α = 90.00°, β = 90.00°, γ = 120.00°
Element x y z (fractional)
P 0.333 0.667 0.000
Pb 0.667 0.333 0.500
Mn 0.000 0.000 0.000

Output
* excess energy over the best structure of this formula in the dataset: 0 meV per atom
* E_tot: -6.0650 eV/atom
* mass density: 7.75 g cm⁻³
* volume: 20.95 A^3/atom

***

Material: MnP3Pb
Method: DFT, PBE
State: optimized geometry

a = 4.526 Å, b = 4.526 Å, c = 4.526 Å
α = 90.00°, β = 90.00°, γ = 90.00°
Element x y z (fractional)
P 0.000 0.000 0.500
P 0.000 0.500 0.000
P 0.500 0.000 0.000
Pb 0.500 0.500 0.500
Mn 0.000 0.000 0.000

Output
* excess energy over the best structure of this formula in the dataset: 0 meV per atom
* E_tot: -5.4165 eV/atom
* mass density: 6.36 g cm⁻³
* volume: 18.55 A^3/atom

***

Material: MnPPb
Method: DFT, PBE
State: optimized geometry

a = 3.336 Å, b = 3.336 Å, c = 6.226 Å
α = 90.00°, β = 90.00°, γ = 120.00°
Element x y z (fractional)
Pb 0.333 0.667 0.686
Mn 0.000 0.000 0.062
P 0.667 0.333 0.253

Output
* excess energy over the best structure of this formula in the dataset: 83 meV per atom
* E_tot: -5.9816 eV/atom
* mass density: 8.11 g cm⁻³
* volume: 20.01 A^3/atom

***

Material: MnPPb2
Method: DFT, PBE
State: optimized geometry

a = 5.903 Å, b = 5.903 Å, c = 3.558 Å
α = 90.00°, β = 90.00°, γ = 132.80°
Element x y z (fractional)
Mn 0.180 0.820 0.000
Pb 0.894 0.106 0.000
Pb 0.595 0.405 0.500
P 0.320 0.680 0.500

Output
* E_tot: -5.3644 eV/atom
* mass density: 9.13 g cm⁻³
* volume: 22.74 A^3/atom

***

Material: MnPPb2
Method: DFT, PBE
State: optimized geometry

a = 4.919 Å, b = 4.919 Å, c = 3.811 Å
α = 90.00°, β = 90.00°, γ = 90.03°
Element x y z (fractional)
Mn 0.500 0.500 0.500
Pb 0.000 0.500 0.000
Pb 0.500 0.000 0.000
P 0.000 0.000 0.500

Output
* E_tot: -5.0569 eV/atom
* mass density: 9.01 g cm⁻³
* volume: 23.05 A^3/atom